An optimized crystal structure of MgGePtO6, computed with GGA-PBE.

Formation energy from raw total energies = -11.19 eV per formula unit

Unit cell a=5.0838 b=5.0838 c=8.8644 alpha=90.00 beta=90.00 gamma=120.00
Closest atoms and distances in Å follow each position.
Space group P-31c (No. 163)
Symmetry-distinct sites (fractional):
Mg 0.0000 0.0000 0.0000 (multiplicity 2)  6 O 2.14
Ge 0.3333 0.6667 0.2500 (multiplicity 2)  6 O 1.92
Pt 0.3333 0.6667 0.7500 (multiplicity 2)  6 O 1.98
O 0.0104 0.3553 0.1335 (multiplicity 12)  1 Ge 1.92, 1 Pt 1.98, 1 Mg 2.14

***

An optimized crystal structure of Ca3TbPr2Te6, computed with GGA-PBE.

Formation energy from raw total energies = -18.03 eV per formula unit

Unit cell a=7.7195 b=13.3500 c=7.8835 alpha=90.00 beta=109.09 gamma=90.00
Closest atoms and distances in Å follow each position.
Space group C2/m (No. 12)
Symmetry-distinct sites (fractional):
Ca 0.0000 0.0000 0.0000 (multiplicity 2)  6 Te 3.14-3.21
Ca 0.0000 0.3301 0.0000 (multiplicity 4)  6 Te 3.14-3.18
Tb 0.0000 0.5000 0.5000 (multiplicity 2)  6 Te 3.14-3.15
Pr 0.0000 0.1654 0.5000 (multiplicity 4)  6 Te 3.21-3.22
Te 0.2396 0.5000 0.2449 (multiplicity 4)  1 Tb 3.15, 3 Ca 3.16-3.21, 2 Pr 3.21
Te 0.2466 0.3372 0.7528 (multiplicity 8)  1 Tb 3.14, 3 Ca 3.14-3.18, 2 Pr 3.22

***

An optimized crystal structure of SmAlPd, computed with GGA-PBE.

Energy of formation = -0.834 eV/atom

Unit cell a=7.0791 b=4.5166 c=7.8286 alpha=90.00 beta=90.00 gamma=90.00
Closest atoms and distances in Å follow each position.
Space group Pnma (No. 62)
Symmetry-distinct sites (fractional):
Sm 0.0344 0.2500 0.1800 (multiplicity 4)  5 Pd 2.89-3.21, 1 Al 3.11
Al 0.1457 0.2500 0.5649 (multiplicity 4)  4 Pd 2.62-2.71
Pd 0.2203 0.7500 0.3855 (multiplicity 4)  4 Al 2.62-2.71, 1 Sm 2.89

***

An optimized crystal structure of GaHPdPt2, computed with GGA-PBE.

E = -25.34 eV per cell

Unit cell a=3.9855 b=3.9855 c=4.0468 alpha=90.00 beta=90.00 gamma=90.00
Closest atoms and distances in Å follow each position.
Space group P4/mmm (No. 123)
Symmetry-distinct sites (fractional):
Ga 0.0000 0.0000 0.0000 (multiplicity 1)  4 Pd 2.82, 8 Pt 2.84
H 0.5000 0.5000 0.5000 (multiplicity 1)  4 Pt 1.99, 2 Pd 2.02
Pd 0.5000 0.5000 0.0000 (multiplicity 1)  2 H 2.02
Pt 0.0000 0.5000 0.5000 (multiplicity 2)  2 H 1.99

***

An optimized crystal structure of Tl2ZnMo, computed with GGA-PBE.

Polymorph energy (0 for the lowest one) = 50 meV per atom
Energy of formation = 0.525 eV/atom

Unit cell a=3.0173 b=3.6483 c=8.0072 alpha=90.00 beta=90.00 gamma=90.00
Closest atoms and distances in Å follow each position.
Space group Pmm2 (No. 25)
Symmetry-distinct sites (fractional):
Tl 0.0000 0.0000 0.0000 (multiplicity 1)  2 Tl 3.02, 4 Mo 3.03, 1 Zn 3.15
Tl 0.5000 0.5000 0.3446 (multiplicity 1)  2 Tl 3.02, 4 Zn 3.16, 1 Mo 3.35
Zn 0.0000 0.0000 0.6066 (multiplicity 1)  4 Mo 2.68
Mo 0.5000 0.5000 0.7631 (multiplicity 1)  4 Zn 2.68

***

An optimized crystal structure of Zr2SiGe2, computed with GGA-PBE.

Polymorph energy (0 for the lowest one) = 0 meV per atom
Formation energy from raw total energies = -2.30 eV per formula unit

Unit cell a=7.0905 b=7.0905 c=3.9682 alpha=90.00 beta=90.00 gamma=90.00
Closest atoms and distances in Å follow each position.
Space group P4/mbm (No. 127)
Symmetry-distinct sites (fractional):
Zr 0.1764 0.3236 0.0000 (multiplicity 4)  2 Si 2.61, 2 Ge 2.80
Si 0.0000 0.0000 0.0000 (multiplicity 2)  4 Zr 2.61
Ge 0.1273 0.6273 0.5000 (multiplicity 4)  1 Ge 2.55, 2 Zr 2.80

***

no.,density (g/cm³)
1,6.49
2,5.74
3,7.53
4,14.66
5,10.74
6,5.92